(1)
An optimized crystal structure of MnZn2Pb. Source: Alexandria, functional PBE.

a = 4.612 Å, b = 4.612 Å, c = 5.682 Å
α = 100.67°, β = 100.67°, γ = 41.29°
Sites, in units of the cell vectors:
Mn1 0.000 0.000 0.000
Zn1 0.476 0.476 0.376
Zn2 0.740 0.740 0.203
Pb1 0.241 0.241 0.710

Properties
ρ	8.35	Mg/m³
DOS at the Fermi energy	1.9	states/eV/cell
magnetic moment	3.80	μB/f.u.
symmetry	Cm, No. 8
formation energy from the elements	1.10	eV/f.u.

=====

(2)
An optimized crystal structure of Ba6Ag2PdRh. Source: Alexandria, functional PBE.

a = 7.865 Å, b = 8.851 Å, c = 14.059 Å
α = 90.00°, β = 123.21°, γ = 90.00°
Sites, in units of the cell vectors:
Ba1 0.114 0.039 0.246
Ba2 0.114 0.461 0.746
Ba3 0.229 0.690 0.062
Ba4 0.229 0.810 0.562
Ba5 0.383 0.178 0.060
Ba6 0.383 0.322 0.560
Ba7 0.617 0.678 0.440
Ba8 0.617 0.822 0.940
Ba9 0.771 0.190 0.438
Ba10 0.771 0.310 0.938
Ba11 0.886 0.539 0.254
Ba12 0.886 0.961 0.754
Ag1 0.303 0.107 0.751
Ag2 0.303 0.393 0.251
Ag3 0.697 0.607 0.749
Ag4 0.697 0.893 0.249
Pd1 0.500 0.000 0.500
Pd2 0.500 0.500 0.000
Rh1 0.000 0.000 0.000
Rh2 0.000 0.500 0.500

Properties
ρ	5.07	Mg/m³
DOS at the Fermi energy	12.8	states/eV/cell
magnetic moment	0.00	μB/f.u.
symmetry	P2_1/c, No. 14
formation energy from the elements	-2.73	eV/f.u.

=====

(3)
An optimized crystal structure of RbNa2OsO4. Source: Alexandria, functional PBE.

a = 7.054 Å, b = 7.054 Å, c = 7.054 Å
α = 112.89°, β = 108.14°, γ = 107.44°
Sites, in units of the cell vectors:
Rb1 0.000 0.000 0.000
Rb2 0.500 0.000 0.500
Na1 0.000 0.500 0.500
Na2 0.500 0.000 0.000
Na3 0.500 0.500 0.000
Na4 0.500 0.500 0.500
Os1 0.000 0.000 0.500
Os2 0.000 0.500 0.000
O1 0.220 0.259 0.539
O2 0.220 0.680 0.961
O3 0.225 0.000 0.725
O4 0.225 0.500 0.225
O5 0.775 0.000 0.275
O6 0.775 0.500 0.775
O7 0.780 0.320 0.039
O8 0.780 0.741 0.461

Properties
ρ	4.75	Mg/m³
formation energy without anion corrections	-9.97	eV per formula unit
DOS at the Fermi energy	9.2	states/eV/cell
magnetic moment	1.01	μB/f.u.
symmetry	Imma, No. 74

=====

(4)
An optimized crystal structure of ZrTcPb2. Source: Alexandria, functional PBE.

a = 3.410 Å, b = 3.410 Å, c = 7.323 Å
α = 90.00°, β = 90.00°, γ = 90.00°
Sites, in units of the cell vectors:
Zr1 0.000 0.000 0.000
Tc1 0.000 0.000 0.500
Pb1 0.500 0.500 0.277
Pb2 0.500 0.500 0.723

Properties
ρ	11.77	Mg/m³
DOS at the Fermi energy	3.4	states/eV/cell
magnetic moment	0.00	μB/f.u.
symmetry	P4/mmm, No. 123
formation energy from the elements	1.20	eV/f.u.

=====

(5)
An optimized crystal structure of NaFe3Br9. Source: Alexandria, functional PBE.

a = 10.800 Å, b = 10.800 Å, c = 13.960 Å
α = 126.32°, β = 126.32°, γ = 52.65°
Sites, in units of the cell vectors:
Na1 0.219 0.781 0.500
Na2 0.781 0.219 0.000
Fe1 0.160 0.349 0.780
Fe2 0.349 0.160 0.280
Fe3 0.556 0.710 0.319
Fe4 0.710 0.556 0.819
Fe5 0.733 0.947 0.158
Fe6 0.947 0.733 0.658
Br1 0.043 0.173 0.581
Br2 0.043 0.874 0.656
Br3 0.173 0.043 0.081
Br4 0.202 0.531 0.759
Br5 0.211 0.422 0.404
Br6 0.335 0.709 0.311
Br7 0.422 0.211 0.904
Br8 0.531 0.202 0.259
Br9 0.539 0.996 0.421
Br10 0.547 0.822 0.949
Br11 0.577 0.582 0.120
Br12 0.582 0.577 0.620
Br13 0.709 0.335 0.811
Br14 0.765 0.905 0.767
Br15 0.822 0.547 0.449
Br16 0.874 0.043 0.156
Br17 0.905 0.765 0.267
Br18 0.996 0.539 0.921

Properties
ρ	3.11	Mg/m³
formation energy without anion corrections	-8.00	eV per formula unit
DOS at the Fermi energy	10.8	states/eV/cell
magnetic moment	14.00	μB/f.u.
symmetry	Cc, No. 9

=====

(6)
An optimized crystal structure of KRbBa2Tl. Source: Alexandria, functional PBE.

a = 6.846 Å, b = 6.846 Å, c = 7.183 Å
α = 90.00°, β = 90.00°, γ = 90.00°
Sites, in units of the cell vectors:
K1 0.000 0.000 0.000
Rb1 0.500 0.500 0.000
Ba1 0.000 0.500 0.500
Ba2 0.500 0.000 0.500
Tl1 0.000 0.000 0.500

Properties
ρ	2.98	Mg/m³
DOS at the Fermi energy	5.0	states/eV/cell
magnetic moment	0.00	μB/f.u.
symmetry	P4/mmm, No. 123
formation energy from the elements	-0.10	eV/f.u.

=====

(7)
An optimized crystal structure of Ba2CaBiF. Source: Alexandria, functional PBE.

a = 5.957 Å, b = 5.957 Å, c = 4.740 Å
α = 90.00°, β = 90.00°, γ = 90.00°
Sites, in units of the cell vectors:
Ba1 0.000 0.500 0.000
Ba2 0.500 0.000 0.000
Ca1 0.000 0.000 0.500
Bi1 0.500 0.500 0.500
F1 0.000 0.000 0.000

Properties
ρ	5.36	Mg/m³
formation energy without anion corrections	-7.01	eV per formula unit
DOS at the Fermi energy	2.5	states/eV/cell
magnetic moment	0.00	μB/f.u.
symmetry	P4/mmm, No. 123

=====

(8)
An optimized crystal structure of AcPdPb3. Source: Alexandria, functional PBE.

a = 5.431 Å, b = 5.431 Å, c = 5.431 Å
α = 90.00°, β = 90.00°, γ = 90.00°
Sites, in units of the cell vectors:
Ac1 0.000 0.000 0.000
Pd1 0.500 0.500 0.500
Pb1 0.000 0.500 0.500
Pb2 0.500 0.000 0.500
Pb3 0.500 0.500 0.000

Properties
ρ	9.90	Mg/m³
DOS at the Fermi energy	3.2	states/eV/cell
magnetic moment	0.00	μB/f.u.
symmetry	Pm-3m, No. 221
formation energy from the elements	-0.80	eV/f.u.

=====

(9)
An optimized crystal structure of CsLa3Ti. Source: Alexandria, functional PBE.

a = 5.871 Å, b = 5.871 Å, c = 5.871 Å
α = 90.00°, β = 90.00°, γ = 90.00°
Sites, in units of the cell vectors:
Cs1 0.000 0.000 0.000
La1 0.000 0.000 0.500
La2 0.000 0.500 0.000
La3 0.500 0.000 0.000
Ti1 0.500 0.500 0.500

Properties
ρ	4.90	Mg/m³
DOS at the Fermi energy	10.5	states/eV/cell
magnetic moment	2.70	μB/f.u.
symmetry	Pm-3m, No. 221
formation energy from the elements	6.65	eV/f.u.

=====

(10)
An optimized crystal structure of FePbAu2. Source: Alexandria, functional PBE.

a = 3.133 Å, b = 3.133 Å, c = 8.035 Å
α = 90.00°, β = 90.00°, γ = 90.00°
Sites, in units of the cell vectors:
Fe1 0.000 0.000 0.000
Pb1 0.000 0.000 0.500
Au1 0.500 0.500 0.200
Au2 0.500 0.500 0.800

Properties
ρ	13.83	Mg/m³
DOS at the Fermi energy	3.2	states/eV/cell
magnetic moment	2.99	μB/f.u.
symmetry	P4/mmm, No. 123
formation energy from the elements	0.63	eV/f.u.

=====

(11)
An optimized crystal structure of LiSbAu4. Source: Alexandria, functional PBE.

a = 5.717 Å, b = 7.916 Å, c = 5.024 Å
α = 90.00°, β = 91.70°, γ = 90.00°
Sites, in units of the cell vectors:
Li1 0.000 0.236 0.250
Li2 0.000 0.764 0.750
Sb1 0.500 0.255 0.250
Sb2 0.500 0.745 0.750
Au1 0.226 0.418 0.632
Au2 0.226 0.582 0.132
Au3 0.237 0.086 0.850
Au4 0.237 0.914 0.350
Au5 0.763 0.086 0.650
Au6 0.763 0.914 0.150
Au7 0.774 0.418 0.868
Au8 0.774 0.582 0.368

Properties
ρ	13.39	Mg/m³
formation energy without anion corrections	-1.08	eV per formula unit
DOS at the Fermi energy	2.7	states/eV/cell
magnetic moment	0.00	μB/f.u.
symmetry	P2/c, No. 13

=====

(12)
An optimized crystal structure of ZnCdMoIr2. Source: Alexandria, functional PBE.

a = 4.578 Å, b = 4.578 Å, c = 4.646 Å
α = 90.00°, β = 90.00°, γ = 90.00°
Sites, in units of the cell vectors:
Zn1 0.000 0.000 0.000
Cd1 0.500 0.500 0.500
Mo1 0.000 0.000 0.500
Ir1 0.000 0.500 0.000
Ir2 0.500 0.000 0.000

Properties
ρ	11.22	Mg/m³
DOS at the Fermi energy	4.9	states/eV/cell
magnetic moment	3.12	μB/f.u.
symmetry	P4/mmm, No. 123
formation energy from the elements	6.80	eV/f.u.